No. 1
VASP calculation (PBE) on an optimized crystal structure of ReSiSb2.

Calculated values
E_form (uncorrected)	0.91	eV per atom

a b c (Å): 3.4521 4.4004 5.2270
angles (deg): 90.00 90.00 90.00
With the nearest neighbours (Å) after each atom.
Space group Pmmm (No. 47)
Inequivalent atoms, fractional coordinates:
Re: 0.0000 0.0000 0.0000 x1  4 Sb 2.80
Si: 0.5000 0.0000 0.5000 x1  4 Sb 2.80
Sb: 0.0000 0.5000 0.5000 x1  4 Si 2.80
Sb: 0.5000 0.5000 0.0000 x1  4 Re 2.80

No. 2
VASP calculation (PBE) on an optimized crystal structure of Sc2MoW.

Calculated values
formation energy	0.0299	eV per atom

a b c (Å): 3.2283 3.2283 7.5498
angles (deg): 90.00 90.00 90.00
With the nearest neighbours (Å) after each atom.
Space group P4mm (No. 99)
Inequivalent atoms, fractional coordinates:
Sc: 0.0000 0.0000 0.0000 x1  4 Mo 2.87, 1 W 3.16
Sc: 0.5000 0.5000 0.3443 x1  4 W 2.90, 1 Mo 3.21, 4 Sc 3.23
Mo: 0.5000 0.5000 0.7689 x1  4 W 2.68, 4 Sc 2.87
W: 0.0000 0.0000 0.5819 x1  4 Mo 2.68, 4 Sc 2.90

No. 3
VASP calculation (PBE) on an optimized crystal structure of YNpRh2.

Calculated values
formation energy	-0.4968	eV per atom

a b c (Å): 4.8673 4.8673 3.3916
angles (deg): 90.00 90.00 90.00
With the nearest neighbours (Å) after each atom.
Space group P4/mmm (No. 123)
Inequivalent atoms, fractional coordinates:
Y: 0.0000 0.0000 0.0000 x1  8 Rh 2.97
Np: 0.5000 0.5000 0.0000 x1  8 Rh 2.97
Rh: 0.0000 0.5000 0.5000 x2  4 Np 2.97, 4 Y 2.97

no.,size of the total moment (μB/cell),V (Å³/cell)
1,0.00,79
2,0.00,79
3,3.42,80